(1)
Computed, not measured: crystalline ZnP2H20C24O6 at its relaxed geometry at the GGA-PBE level of DFT.

extended XYZ file:
```
106
Lattice="9.625 -7.436 -1.937 -9.509 1.759 7.627 -4.232 -4.899 -10.478" Properties=species:S:1:pos:R:3 pbc="T T T"
C 0.110 -7.647 -9.490
C -3.623 -2.312 3.019
C -2.480 -6.314 -3.106
C -4.164 -3.474 2.463
C 1.196 -6.484 -7.173
C 2.550 -11.342 -9.779
C 4.370 -8.570 -5.045
C 4.492 -8.582 -3.656
C -1.281 -7.171 -3.309
C 0.241 -6.451 0.150
C 0.595 -7.726 -0.276
C 6.752 -8.981 -5.279
C 2.652 -9.724 -7.989
C -2.843 -5.881 -1.826
C 1.097 -7.358 -3.768
C -4.674 -4.615 -2.741
C -0.034 -6.576 -3.541
C -3.930 -5.029 -1.635
C -2.764 -1.571 -1.937
C -0.846 -6.282 1.016
C -1.360 -8.578 -3.278
C 2.876 -2.580 -1.045
C 2.778 -4.376 -2.656
C -8.224 -5.126 -1.926
C 3.670 -5.130 -1.892
C -1.570 -7.402 1.467
C 0.052 -7.267 -7.084
C -5.976 -2.190 1.531
C -0.460 -8.229 -10.735
C 5.489 -8.776 -5.849
C -3.894 -1.385 -1.136
C -4.263 -1.070 2.839
C -4.338 -5.037 -4.023
C 2.377 -3.112 -2.240
C -5.454 -1.031 2.102
C 3.035 -10.136 -9.260
C -0.217 -9.356 -3.485
C 4.155 -4.603 -0.694
C -7.690 -4.542 -0.780
C 1.791 -10.505 -7.215
C -1.307 -3.000 -4.660
C -5.326 -3.411 1.703
C -3.237 -5.880 -4.213
C -3.707 0.189 3.407
C -9.742 -1.411 2.093
C -0.501 -7.837 -8.234
C -8.305 -4.277 -5.791
C 1.004 -8.748 -3.751
H -2.237 -6.200 -0.979
H -3.671 -4.430 2.629
H 1.599 -6.024 -6.271
H -7.732 -4.995 -2.891
H 3.009 -8.765 -7.617
H -2.432 -0.286 1.198
H -4.903 -4.712 -4.898
H -1.587 -4.923 2.232
H 4.867 -5.166 -0.093
H -7.820 -0.747 4.795
H -9.913 -3.005 -1.499
H 2.059 -6.876 -3.955
H -11.278 -4.286 -2.612
H -5.510 -3.928 -2.618
H -9.494 -2.408 1.730
H 1.455 -10.168 -6.234
H -5.719 -4.322 1.254
H 2.409 -4.757 -3.607
H 0.040 -5.488 -3.542
H 1.419 -7.835 -0.980
H 3.626 -8.413 -3.018
H -3.801 -1.430 -0.053
H -7.746 -1.934 -1.999
H 6.084 -10.830 -9.390
H 3.395 -8.405 -5.507
H -6.518 -6.926 -5.238
H -0.659 -3.042 -1.483
H 5.393 -8.779 -6.935
H 0.782 -5.565 -0.188
H -6.779 -3.946 -0.851
H 3.698 -9.530 -9.881
H -5.968 -0.077 1.978
H 4.019 -6.104 -2.233
H 2.434 -5.187 1.992
H -4.165 -4.668 -0.633
H -0.417 -7.440 -6.118
H -2.499 -7.084 -5.583
H -1.888 -3.858 -4.327
H -8.993 -4.892 -5.213
H -6.900 -2.140 0.954
O -1.200 -5.005 1.329
O -11.223 -4.443 -3.583
O -9.683 1.017 5.927
O -2.789 -5.240 -8.804
O -2.903 -6.190 -5.496
O -1.400 -1.702 0.375
O -1.625 -3.894 3.870
O -2.448 -8.725 -6.610
O 7.120 -6.751 -0.583
O -5.291 -6.322 -7.161
O 1.156 -3.290 1.409
O -3.960 -8.869 -4.053
P -2.943 -9.405 -3.049
P -2.057 -2.419 3.902
P -1.160 -1.765 -1.142
P -2.046 -8.751 -8.093
Zn 0.094 -4.578 4.589
Zn 0.036 -1.740 1.744
```

The energy is -6.521 eV per atom.

(2)
Computed, not measured: crystalline H26Pd5C22O16 at its relaxed geometry at the GGA-PBE level of DFT.

extended XYZ file:
```
69
Lattice="9.048 0.000 0.000 -3.927 8.552 0.000 -4.208 -2.949 9.090" Properties=species:S:1:pos:R:3 pbc="T T T"
C -0.041 5.191 1.581
C -2.556 5.713 5.520
C 3.469 -0.111 3.570
C -3.596 -0.710 7.327
C 1.122 1.861 7.191
C 1.558 5.575 6.251
C -0.645 0.028 2.839
C -1.949 4.321 8.802
C -0.209 3.742 1.899
C -4.876 7.202 2.802
C -5.025 4.480 7.770
C 0.954 0.412 7.509
C -0.868 0.788 4.114
C 5.939 1.123 1.321
C -2.072 5.266 4.172
C 2.985 0.336 4.918
C 5.790 -1.600 6.288
C 2.862 1.282 0.289
C -3.388 0.762 7.165
C 4.509 6.313 1.763
C 1.781 4.815 4.976
C 4.301 4.841 1.925
H -0.692 0.172 5.004
H 2.155 2.084 6.914
H 0.905 2.442 8.096
H 3.336 -0.358 5.690
H -2.489 4.274 3.950
H -1.242 3.518 2.177
H 3.408 4.546 1.356
H -3.236 1.048 6.119
H 6.105 -1.146 5.353
H -1.915 1.132 4.139
H 1.894 0.385 4.934
H 5.155 4.295 1.506
H -4.242 1.308 7.584
H 0.420 2.176 6.414
H 4.149 4.555 2.971
H -2.423 5.960 3.400
H -0.229 1.678 4.138
H -2.495 1.057 7.735
H 0.493 3.427 2.676
H 3.402 1.328 5.141
H -5.192 6.749 3.738
H 1.142 3.925 4.952
H 2.828 4.471 4.951
H 0.008 3.160 0.995
H 1.605 5.431 4.086
H -0.981 5.218 4.156
O 1.944 -0.180 8.056
O 2.707 2.250 0.935
O 4.992 6.649 0.619
O 1.095 5.709 1.864
O -4.079 -1.047 8.471
O -3.815 5.886 5.650
O 2.579 -0.274 2.672
O -1.794 3.353 8.155
O -0.182 -0.106 7.226
O -1.030 5.782 1.034
O 4.728 -0.283 3.440
O -4.998 3.532 7.072
O 5.911 2.071 2.018
O -0.220 0.738 1.858
O -1.666 5.877 6.418
O 1.133 4.865 7.232
Pd 1.970 -2.258 8.491
Pd 1.642 7.735 1.546
Pd 0.000 0.000 0.000
Pd -1.057 7.860 0.599
Pd -0.729 -2.132 7.545
```

The energy is -6.194 eV per atom.

(3)
Computed, not measured: crystalline H6PdC2S2O6 at its relaxed geometry at the GGA-PBE level of DFT.

extended XYZ file:
```
34
Lattice="-2.712 -2.280 3.218 1.264 -9.002 -5.313 7.620 0.060 1.712" Properties=species:S:1:pos:R:3 pbc="T T T"
H 2.456 -8.135 0.305
H 3.011 -7.147 -1.112
H 3.717 -3.088 -0.688
H -0.856 -2.628 0.745
H 3.162 -4.076 0.728
H 1.859 -8.507 -1.371
H 4.313 -2.716 0.988
H 7.334 -1.688 0.976
H 0.573 -3.243 -0.162
H 5.600 -7.979 -0.222
H 7.029 -8.595 -1.128
H -1.162 -9.534 -1.360
S 0.864 -6.608 -0.452
S 5.309 -4.615 0.069
S 1.038 -1.369 1.146
S 5.134 -9.854 -1.529
O 4.049 -10.301 -0.584
O 1.681 -2.321 2.135
O 0.315 -6.326 -1.837
O -0.168 -7.440 0.267
O 2.124 -0.921 0.200
O 4.612 -1.922 3.158
O 5.857 -4.896 1.454
O 1.289 -5.421 0.255
O 4.491 -8.902 -2.519
O 6.340 -3.783 -0.650
O 4.883 -5.801 -0.638
O 1.560 -9.301 -3.541
C 0.008 -2.352 0.129
C 6.165 -8.871 -0.512
C 2.190 -7.728 -0.676
C 3.983 -3.495 0.293
Pd 3.810 0.030 0.856
Pd 0.632 -4.501 -2.657
```

The energy is -5.448 eV per atom.

(4)
Computed, not measured: crystalline PrH8C6O10 at its relaxed geometry at the GGA-PBE level of DFT.

extended XYZ file:
```
50
Lattice="-6.648 -4.630 -0.516 2.686 0.366 7.951 -1.399 8.806 -0.891" Properties=species:S:1:pos:R:3 pbc="T T T"
C -3.092 -1.758 -0.267
C -2.598 0.128 5.601
C -2.763 4.413 0.943
C -3.849 5.127 1.551
C 0.296 -0.148 7.660
C -1.511 -0.586 4.994
C -2.268 6.299 6.812
C -0.566 -1.096 4.427
C -4.468 -2.750 3.865
C -5.656 4.689 -1.115
C -4.794 5.636 2.117
C -0.892 7.290 2.680
H -5.680 1.478 1.287
H -4.291 0.865 3.562
H 0.637 4.942 5.717
H -5.866 -1.636 1.886
H -3.197 3.716 4.098
H -4.671 4.366 4.286
H -2.163 0.825 2.447
H 0.320 3.062 5.258
H -0.689 0.175 2.259
H 0.505 6.177 4.659
H -1.543 2.624 4.006
H -5.997 -0.401 0.828
H -0.785 3.555 6.352
H -3.817 1.917 2.539
H -4.575 0.986 0.193
H -1.069 3.675 2.983
O 1.045 5.809 5.417
O -1.225 1.004 2.137
O -1.023 7.665 1.464
O -4.337 -3.124 5.080
O -3.011 0.592 -0.290
O -3.517 -0.513 6.194
O -6.406 -1.269 1.128
O -6.930 4.745 -1.098
O -2.804 3.149 1.066
O -2.556 1.391 5.479
O 1.570 -0.204 7.643
O -2.350 3.949 6.835
O -1.567 3.589 3.830
O -3.793 0.952 2.715
O -4.135 3.537 4.408
O 0.075 6.626 3.139
O -1.843 5.054 0.350
O 0.191 3.450 6.172
O -5.551 1.091 0.372
O -5.435 -2.086 3.406
Pr -4.458 2.487 6.638
Pr -0.902 2.053 -0.093
```

The energy is -6.506 eV per atom.

(5)
Computed, not measured: crystalline PrH7C8SO9 at its relaxed geometry at the GGA-PBE level of DFT.

extended XYZ file:
```
52
Lattice="6.300 0.000 0.000 -2.683 8.306 0.000 -1.781 -0.861 10.483" Properties=species:S:1:pos:R:3 pbc="T T T"
C 2.113 1.780 10.451
C 3.706 2.575 3.748
C 4.005 1.180 8.867
C 3.368 1.214 10.207
C -2.383 5.118 8.123
C 4.219 2.327 2.359
C 3.455 2.789 1.279
C -0.849 1.705 2.089
C -2.169 6.265 1.616
C 2.215 5.839 9.695
C -1.870 4.869 6.734
C -1.532 6.231 0.276
C -1.619 4.655 9.203
C -0.380 1.606 0.788
C -0.278 5.664 0.031
C 2.685 5.740 8.394
H 1.945 2.311 7.535
H 3.417 0.082 4.042
H -0.667 4.170 8.993
H -1.582 7.362 6.441
H 1.225 6.241 9.894
H 0.620 3.849 3.577
H 2.503 3.275 1.490
H 1.216 3.596 6.906
H 0.610 1.204 0.588
H -0.160 7.273 3.324
H 1.499 2.143 9.628
H 0.337 5.301 0.855
H 1.996 0.171 7.159
H -0.109 5.134 2.947
O 0.398 2.339 4.293
O 2.885 6.510 1.681
O 0.297 6.562 7.837
O 1.539 0.882 2.646
O -1.495 6.017 2.688
O 3.199 3.704 3.967
O 3.330 1.427 7.795
O -1.049 0.935 8.802
O 1.438 5.105 6.190
O 0.675 7.422 3.815
O -1.967 5.792 5.857
O -1.363 3.740 6.515
O 1.161 0.023 6.668
O 1.057 2.744 7.390
O 2.068 7.387 6.362
O -0.232 0.057 4.121
O 3.803 1.653 4.626
O 0.778 4.701 3.092
Pr -0.791 1.446 6.401
Pr 2.627 5.998 4.082
S 1.521 6.245 7.145
S 0.314 1.200 3.337
```

The energy is -6.759 eV per atom.

(6)
Computed, not measured: crystalline PrH3CSO7 at its relaxed geometry at the GGA-PBE level of DFT.

extended XYZ file:
```
52
Lattice="6.926 0.000 0.000 0.000 6.926 0.000 0.000 0.000 11.564" Properties=species:S:1:pos:R:3 pbc="T T T"
Pr 6.005 4.290 11.332
Pr 0.921 2.637 5.550
Pr 2.637 6.005 8.441
Pr 4.290 0.921 2.659
H 3.363 2.450 8.921
H 3.564 4.476 3.139
H 0.831 0.354 10.534
H 2.249 0.731 11.106
H 0.731 4.677 2.432
H 4.476 3.363 6.030
H 0.354 6.095 1.861
H 2.450 3.564 0.248
H 6.572 0.831 7.643
H 6.196 2.249 8.214
H 6.095 6.572 4.752
H 4.677 6.196 5.323
O 3.303 2.358 4.677
O 4.523 5.513 1.655
O 6.399 1.773 7.379
O 5.154 6.399 4.487
O 5.796 2.087 10.175
O 2.087 1.130 1.502
O 0.527 5.154 1.596
O 5.889 4.308 8.881
O 2.570 6.592 3.684
O 6.592 4.357 6.575
O 4.840 5.796 7.284
O 6.212 6.724 10.914
O 5.513 2.403 4.546
O 4.308 1.037 0.208
O 0.203 6.212 8.023
O 1.773 0.527 10.270
O 4.569 3.303 1.786
O 1.037 2.618 3.099
O 2.358 3.624 7.569
O 3.624 4.569 10.460
O 0.714 0.203 5.132
O 2.403 1.413 7.437
O 4.357 0.334 9.466
O 2.618 5.889 5.990
O 1.130 4.840 4.393
O 6.724 0.714 2.241
O 1.413 4.523 10.328
O 0.334 2.570 0.793
C 2.729 2.491 8.022
C 4.198 4.436 2.240
C 4.436 2.729 5.131
C 2.491 4.198 10.913
S 1.762 6.108 4.810
S 5.164 0.819 10.592
S 6.108 5.164 7.701
S 0.819 1.762 1.919
```

The energy is -6.483 eV per atom.

(7)
Computed, not measured: crystalline ReH11C12O at its relaxed geometry at the GGA-PBE level of DFT.

extended XYZ file:
```
50
Lattice="5.834 -5.425 0.000 5.834 5.425 0.000 -2.979 0.000 7.403" Properties=species:S:1:pos:R:3 pbc="T T T"
C 6.252 3.179 0.654
C 2.902 -0.555 6.107
C 4.762 -3.179 4.356
C 3.393 2.475 3.601
C 6.896 -1.383 0.801
C 5.852 -2.764 5.183
C 5.890 -2.389 0.901
C 4.134 -4.319 4.991
C 10.206 -0.517 0.862
C 4.400 2.389 4.603
C 4.391 0.555 2.405
C 5.623 4.319 1.290
C 1.551 -1.797 2.625
C 1.898 -1.557 6.208
C 5.407 1.383 4.503
C 8.716 0.517 4.563
C 5.405 0.472 3.403
C -0.992 0.841 6.223
C 3.387 1.557 2.507
C 7.342 2.764 1.482
C 0.061 1.797 6.327
C 3.916 -0.472 7.105
C 0.497 -0.841 2.522
C 1.904 -2.475 7.302
H 6.211 1.332 5.234
H 4.712 0.264 7.014
H 5.911 -3.128 1.701
H 2.927 0.116 5.249
H 7.700 -1.332 1.532
H 2.642 1.662 1.718
H -1.231 0.048 6.929
H 1.175 -3.281 7.361
H 2.665 3.281 3.660
H 0.787 1.859 7.133
H 1.153 -1.662 5.420
H 4.422 3.128 5.403
H 6.533 -1.933 4.996
H 8.022 1.933 1.294
H 0.259 -0.048 3.227
H 8.260 0.988 3.666
H 2.276 -1.859 3.431
H 4.474 -2.741 3.403
H 6.202 -0.264 3.313
H 4.416 -0.116 1.548
H 6.771 -0.988 7.368
H 2.985 2.741 7.104
O 9.653 0.450 1.414
O 8.163 -0.450 5.116
Re 5.396 2.552 2.615
Re 3.906 -2.552 6.316
```

The energy is -6.605 eV per atom.